Record 1
Computed, not measured: BeCrIr2 after structural relaxation at the PBE level of DFT.

Results
Calculated formation energy ... 0.50 eV per atom
Magnetization ... 0.00 μB/f.u.
Space group ... Immm

a b c (Å): 5.749 5.749 5.749
angles (deg): 52.32 153.64 135.66
Fractional coordinates of all 4 atoms:
1 Be 0.000 0.000 0.000
2 Ir 0.000 0.720 0.720
3 Ir 0.000 0.280 0.280
4 Cr 0.000 0.500 0.500

=====

Record 2
Computed, not measured: AcTb2ErTm after structural relaxation at the PBE level of DFT.

Results
Calculated formation energy ... 0.04 eV per atom
Magnetization ... 0.00 μB/f.u.
Space group ... P2_1/m

a b c (Å): 5.789 9.777 6.341
angles (deg): 109.41 90.00 90.00
Fractional coordinates of all 10 atoms:
1 Tb 0.250 0.503 0.165
2 Tb 0.750 0.696 0.432
3 Tb 0.750 0.497 0.835
4 Tb 0.250 0.304 0.568
5 Er 0.250 0.892 0.372
6 Er 0.750 0.108 0.628
7 Tm 0.250 0.687 0.756
8 Tm 0.750 0.313 0.244
9 Ac 0.250 0.107 0.970
10 Ac 0.750 0.893 0.030

=====

no.,DOS(E_F) (states/eV/cell)
1,3.101
2,17.952